## UIn2 (PBE)

Data for crystalline UIn2 at its relaxed geometry.

Lattice parameters (Å, degrees): 3.0519 3.0519 15.5465 90.00 90.00 90.00
With the nearest neighbours (Å) after each atom.
Space group I4/mmm (No. 139)
Unique sites:
1 U 0.0000 0.0000 0.0000 (multiplicity 2)  4 U 3.05, 8 In 3.34
2 In 0.0000 0.0000 0.3357 (multiplicity 4)  4 In 3.05, 4 U 3.34

## LaThAgIr (PBE)

Data for crystalline LaThAgIr at its relaxed geometry.

Lattice parameters (Å, degrees): 7.3343 7.3343 7.3343 90.00 90.00 90.00
With the nearest neighbours (Å) after each atom.
Space group F-43m (No. 216)
Unique sites:
1 La 0.0000 0.0000 0.0000 (multiplicity 4)  4 Ir 3.18, 4 Ag 3.18
2 Th 0.0000 0.0000 0.5000 (multiplicity 4)  4 Ag 3.18, 4 Ir 3.18
3 Ag 0.2500 0.2500 0.7500 (multiplicity 4)  4 La 3.18, 4 Th 3.18
4 Ir 0.2500 0.2500 0.2500 (multiplicity 4)  4 La 3.18, 4 Th 3.18

## Cu2GeRu (PBE)

Data for crystalline Cu2GeRu at its relaxed geometry.

Lattice parameters (Å, degrees): 3.5487 3.5487 18.4453 90.00 90.00 90.00
With the nearest neighbours (Å) after each atom.
Space group I-42d (No. 122)
Unique sites:
1 Cu 0.2489 0.2500 0.1250 (multiplicity 8)  4 Cu 2.50-2.51, 2 Ru 2.62, 2 Ge 2.63
2 Ge 0.0000 0.0000 0.5000 (multiplicity 4)  4 Ru 2.51, 4 Cu 2.63
3 Ru 0.0000 0.0000 0.0000 (multiplicity 4)  4 Ge 2.51, 4 Cu 2.62

## K2TlAg2 (PBE)

Data for crystalline K2TlAg2 at its relaxed geometry.

Lattice parameters (Å, degrees): 7.8236 7.8236 5.2619 90.00 90.00 90.00
With the nearest neighbours (Å) after each atom.
Space group P4/mbm (No. 127)
Unique sites:
1 K 0.1745 0.3255 0.0000 (multiplicity 4)  6 Ag 3.42-3.56
2 Tl 0.0000 0.0000 0.5000 (multiplicity 2)  4 Ag 3.08
3 Ag 0.1283 0.6283 0.5000 (multiplicity 4)  1 Ag 2.84, 2 Tl 3.08

Properties
offset from the most stable computed form	1.10	kcal/mol of atoms

## KCoGe2 (PBE)

Data for crystalline KCoGe2 at its relaxed geometry.

Lattice parameters (Å, degrees): 6.6021 6.6021 6.6021 90.00 90.00 90.00
With the nearest neighbours (Å) after each atom.
Space group Fm-3m (No. 225)
Unique sites:
1 K 0.0000 0.0000 0.0000 (multiplicity 4)  8 Ge 2.86
2 Co 0.0000 0.0000 0.5000 (multiplicity 4)  8 Ge 2.86
3 Ge 0.2500 0.2500 0.2500 (multiplicity 8)  4 K 2.86, 4 Co 2.86

## CePrInOs (PBE)

Data for crystalline CePrInOs at its relaxed geometry.

Lattice parameters (Å, degrees): 3.4003 3.4003 8.7469 90.00 90.00 90.00
With the nearest neighbours (Å) after each atom.
Space group P4mm (No. 99)
Unique sites:
1 Ce 0.0000 0.0000 0.0000 (multiplicity 1)  4 Os 2.93
2 Pr 0.0000 0.0000 0.4103 (multiplicity 1)  4 Os 3.08, 4 Pr 3.40
3 In 0.5000 0.5000 0.7082 (multiplicity 1)  4 In 3.40, 4 Ce 3.51, 4 Pr 3.55
4 Os 0.5000 0.5000 0.1906 (multiplicity 1)  4 Ce 2.93, 4 Pr 3.08

Mass density across the listed records, respectively: 10.7, 11.3, 8.6, 5.1, 5.6, 9.6 g/cm3.
Total energy across the listed records, respectively: -5.385, -6.418, -5.246, -2.031, -3.754, -6.406 eV/atom.
Magnetic moment across the listed records, respectively: 2.5, 0.0, 0.3, 0.0, 0.3, 0.0 μB/f.u..